Here is an optimized crystal structure of Sc5CdAu6 from the Alexandria database. Energies are from PBE-GGA.

Its crystal system is monoclinic. For the total magnetic moment, the calculation gives 0.0 μB/f.u. The value obtained for the formation energy is -744 meV/atom. For the electronic total energy, the calculation gives -5.0972 eV/atom.

The structure in POSCAR format:
```
Sc5CdAu6
1.0
4.577 0.016 -1.342
-0.949 6.076 -3.164
-0.073 0.376 8.303
Au Sc Cd
6 5 1
direct
0.177 0.910 0.354
0.823 0.556 0.646
0.823 0.090 0.646
0.177 0.444 0.354
0.500 0.729 0.000
0.500 0.271 0.000
0.669 0.669 0.339
0.657 0.157 0.314
0.000 0.500 0.000
0.343 0.843 0.686
0.331 0.331 0.661
0.000 0.000 0.000
```

Here is an optimized crystal structure of Pa2AlV from the Alexandria database. Energies are from PBE-GGA.

The calculation puts the energy above the lowest structure with this stoichiometry at 0.194 eV per atom. Its crystal system is tetragonal. For the total magnetic moment, the calculation gives 0.3 μB/f.u. The value obtained for the formation energy is 186 meV/atom. For the electronic total energy, the calculation gives -7.7775 eV/atom.

The structure in POSCAR format:
```
Pa2AlV
1.0
-1.922 2.041 -2.087
-2.363 -2.554 -0.321
-3.410 2.458 5.545
Pa V Al
2 1 1
direct
0.000 0.000 0.770
0.000 0.000 0.230
0.500 0.500 0.000
0.500 0.500 0.500
```

Here is an optimized crystal structure of Ca2ReAs2 from the Alexandria database. Energies are from PBE-GGA.

Its crystal system is tetragonal. For the total magnetic moment, the calculation gives 0.0 μB/f.u. The value obtained for the formation energy is -477 meV/atom. For the electronic total energy, the calculation gives -5.6274 eV/atom.

The structure in POSCAR format:
```
Ca2ReAs2
1.0
6.670 0.000 0.000
0.000 6.670 0.000
0.000 0.000 4.633
Re Ca As
2 4 4
direct
0.000 0.000 0.000
0.500 0.500 0.000
0.823 0.323 0.500
0.177 0.677 0.500
0.323 0.177 0.500
0.677 0.823 0.500
0.142 0.358 0.000
0.858 0.642 0.000
0.358 0.858 0.000
0.642 0.142 0.000
```